# Ac5Sn2Ru2

Ac5Sn2Ru2 after structural relaxation (PBE-GGA, the Alexandria database).

## Properties
V = 37.25 Å³ per atom
VASP energy = -98.34 eV/cell
Formation enthalpy at 0 K = -2.070 eV per formula unit

POSCAR file:
```
Ac5Sn2Ru2
1.0
7.981 0.000 0.000
0.000 7.599 0.000
-3.990 -3.799 11.056
Ac Sn Ru
10 4 4
Direct
0.238 0.722 0.980
0.762 0.742 0.020
0.242 0.222 0.980
0.758 0.242 0.020
0.188 0.122 0.276
0.812 0.845 0.724
0.588 0.622 0.276
0.412 0.345 0.724
0.133 0.662 0.500
0.867 0.162 0.500
0.123 0.582 0.208
0.877 0.374 0.792
0.585 0.082 0.208
0.415 0.874 0.792
0.000 0.984 0.000
0.500 0.484 0.000
0.187 0.303 0.500
0.813 0.803 0.500
```

***

# RbOsRh

RbOsRh after structural relaxation (PBE-GGA, the Alexandria database).

## Properties
V = 28.66 Å³ per atom
VASP energy = -16.52 eV/cell
Formation enthalpy at 0 K = 3.031 eV per formula unit

POSCAR file:
```
RbOsRh
1.0
3.568 -2.060 0.000
0.000 4.120 0.000
0.000 0.000 5.849
Rh Os Rb
1 1 1
Direct
0.000 0.000 0.000
0.333 0.667 0.000
0.667 0.333 0.500
```

***

# CdRuC3

CdRuC3 after structural relaxation (PBE-GGA, the Alexandria database).

## Properties
V = 14.06 Å³ per atom
VASP energy = -19.54 eV/cell
Formation enthalpy at 0 K = 18.322 eV per formula unit

POSCAR file:
```
CdRuC3
1.0
4.127 0.000 0.000
0.000 4.127 0.000
0.000 0.000 4.127
Ru C Cd
1 3 1
Direct
0.500 0.500 0.500
0.000 0.500 0.000
0.000 0.000 0.500
0.500 0.000 0.000
0.000 0.000 0.000
```

***

# Pr2SiAg

Pr2SiAg after structural relaxation (PBE-GGA, the Alexandria database).

## Properties
V = 25.82 Å³ per atom
VASP energy = -19.32 eV/cell
ΔE_f (raw) = -0.37 eV/atom

POSCAR file:
```
Pr2SiAg
1.0
-3.461 -1.438 0.377
1.596 -2.752 4.159
-1.313 3.981 3.138
Pr Si Ag
2 1 1
Direct
0.000 0.000 0.500
0.000 0.500 0.000
0.500 0.000 0.000
0.500 0.500 0.500
```

***

# UGa4Ni2

UGa4Ni2 after structural relaxation (PBE-GGA, the Alexandria database).

## Properties
V = 15.94 Å³ per atom
VASP energy = -149.11 eV/cell
Formation enthalpy at 0 K = -2.319 eV per formula unit

POSCAR file:
```
UGa4Ni2
1.0
4.197 0.000 0.000
0.000 6.401 0.000
0.000 0.000 16.609
U Ga Ni
4 16 8
Direct
0.750 0.981 0.634
0.250 0.019 0.366
0.250 0.481 0.866
0.750 0.519 0.134
0.250 0.269 0.695
0.750 0.731 0.305
0.750 0.769 0.805
0.250 0.231 0.195
0.250 0.672 0.686
0.750 0.328 0.314
0.750 0.172 0.814
0.250 0.828 0.186
0.250 0.178 0.535
0.750 0.822 0.465
0.750 0.678 0.965
0.250 0.322 0.035
0.250 0.502 0.427
0.750 0.498 0.573
0.750 0.002 0.073
0.250 0.998 0.927
0.250 0.766 0.539
0.750 0.234 0.461
0.750 0.266 0.961
0.250 0.734 0.039
0.250 0.966 0.782
0.750 0.034 0.218
0.750 0.466 0.718
0.250 0.534 0.282
```

***

# Mg3P2

Mg3P2 after structural relaxation (PBE-GGA, the Alexandria database).

## Properties
V = 21.97 Å³ per atom
VASP energy = -151.69 eV/cell
Formation enthalpy at 0 K = -3.358 eV per formula unit

POSCAR file:
```
Mg3P2
1.0
10.451 0.000 0.000
-3.484 9.853 0.000
-3.484 -4.927 8.533
P Mg
16 24
Direct
0.500 0.500 0.000
0.000 0.000 0.000
0.500 0.000 0.500
0.000 0.500 0.500
0.024 0.774 0.250
0.476 0.726 0.750
0.774 0.750 0.524
0.726 0.250 0.976
0.750 0.024 0.274
0.250 0.476 0.226
0.976 0.226 0.750
0.524 0.274 0.250
0.226 0.250 0.476
0.274 0.750 0.024
0.250 0.976 0.726
0.750 0.524 0.774
0.467 0.234 0.974
0.033 0.007 0.767
0.740 0.266 0.733
0.760 0.493 0.526
0.234 0.474 0.967
0.007 0.267 0.533
0.266 0.233 0.240
0.493 0.026 0.260
0.474 0.467 0.734
0.267 0.033 0.507
0.233 0.740 0.766
0.026 0.760 0.993
0.533 0.766 0.026
0.967 0.993 0.233
0.260 0.734 0.267
0.240 0.507 0.474
0.766 0.526 0.033
0.993 0.733 0.467
0.734 0.767 0.760
0.507 0.974 0.740
0.526 0.533 0.266
0.733 0.967 0.493
0.767 0.260 0.234
0.974 0.240 0.007
```